# 1
The following is a DFT calculation (GGA-PBE) of crystalline LiAsHOs at its relaxed geometry.

Calculated values
Spin magnetization   0.00 μB per formula unit
Polymorph energy (0 for the lowest one)   0.0185 eV per atom

a = 3.104 Å, b = 3.104 Å, c = 5.597 Å
α = 90.00°, β = 90.00°, γ = 90.00°
Space group P4mm (No. 99)
One atom of each set of equivalent atoms:
Li 0.000 0.000 0.000 [1 per cell]
As 0.000 0.000 0.477 [1 per cell]
H 0.500 0.500 0.994 [1 per cell]
Os 0.500 0.500 0.695 [1 per cell]

***

# 2
The following is a DFT calculation (GGA-PBE) of crystalline InMo2Os at its relaxed geometry.

Calculated values
Spin magnetization   0.00 μB per formula unit
DFT formation energy   0.375 eV/atom

a = 2.8618 Å, b = 2.8618 Å, c = 28.2970 Å
α = 90.00°, β = 90.00°, γ = 120.00°
Space group R3m (No. 160, hexagonal axes)
One atom of each set of equivalent atoms:
In 0.0000 0.0000 0.0000 [3 per cell]
Mo 0.0000 0.0000 0.2458 [3 per cell]
Mo 0.0000 0.0000 0.4947 [3 per cell]
Os 0.0000 0.0000 0.7536 [3 per cell]